PrY4Se5 | PBE-GGA | relaxed

## Properties
E   -0.2417 Ha/atom
DOS at the Fermi energy   0.53 states/eV per atom
Symmetry   Immm (71)
V   24.8 Å³/atom
E_form (uncorrected)   -17.72 eV per formula unit

Lattice parameters (Å, degrees): 4.1110 5.8290 10.9504 105.44 100.82 90.00
With the nearest neighbours (Å) after each atom.
Sites, in units of the cell vectors:
1 Pr 0.0000 0.0000 0.0000  6 Se 2.91-3.00
2 Se 0.0000 0.5000 0.0000  4 Y 2.90, 2 Pr 2.91
3 Se 0.3942 0.8942 0.7884  4 Y 2.87-2.92, 2 Pr 3.00
4 Se 0.6058 0.1058 0.2116  4 Y 2.87-2.92, 2 Pr 3.00
5 Se 0.1985 0.6985 0.3970  6 Y 2.90-2.92
6 Y 0.4011 0.4011 0.8022  6 Se 2.90-2.92
7 Y 0.7973 0.7973 0.5946  6 Se 2.87-2.92
8 Se 0.8015 0.3015 0.6030  6 Y 2.90-2.92
9 Y 0.5989 0.5989 0.1978  6 Se 2.90-2.92
10 Y 0.2027 0.2027 0.4054  6 Se 2.87-2.92